*A*
A relaxed structure of TbSmEu2. Source: Alexandria, functional PBE.

Computed properties:
* theoretical density: 7.05 g cm⁻³
* total moment: 14.76 μB/cell

Unit cell a=5.9710 b=5.9710 c=4.0535 alpha=90.00 beta=90.00 gamma=90.00
Last column: nearest neighbours and their distance in Å.
Space group P4/mmm (No. 123)
Symmetry-distinct sites (fractional):
1 Tb 0.0000 0.0000 0.0000 (multiplicity 1)  8 Eu 3.61
2 Sm 0.5000 0.5000 0.0000 (multiplicity 1)  8 Eu 3.61
3 Eu 0.0000 0.5000 0.5000 (multiplicity 2)  4 Sm 3.61, 4 Tb 3.61

*B*
A relaxed structure of TbSmEu2. Source: Alexandria, functional PBE.

Computed properties:
* theoretical density: 7.06 g cm⁻³
* total moment: 45.38 μB/cell

Unit cell a=3.6889 b=3.6889 c=36.7015 alpha=90.00 beta=90.00 gamma=120.00
Last column: nearest neighbours and their distance in Å.
Space group R-3m (No. 166, hexagonal axes)
Symmetry-distinct sites (fractional):
1 Tb 0.0000 0.0000 0.0000 (multiplicity 3)  6 Tb 3.69, 6 Eu 3.71
2 Sm 0.0000 0.0000 0.5000 (multiplicity 3)  6 Sm 3.69, 6 Eu 3.75
3 Eu 0.0000 0.0000 0.2507 (multiplicity 6)  6 Eu 3.69, 3 Tb 3.71, 3 Sm 3.75

Most stable: *B*. Least stable: *A*.

*A*
A relaxed structure of TbSmEu2. Source: Alexandria, functional PBE.

Computed properties:
* theoretical density: 7.05 g cm⁻³
* total moment: 58.16 μB/cell

Unit cell a=8.3291 b=8.3291 c=8.3291 alpha=90.00 beta=90.00 gamma=90.00
Last column: nearest neighbours and their distance in Å.
Space group Fm-3m (No. 225)
Symmetry-distinct sites (fractional):
1 Tb 0.0000 0.0000 0.0000 (multiplicity 4)  8 Eu 3.61
2 Sm 0.0000 0.0000 0.5000 (multiplicity 4)  8 Eu 3.61
3 Eu 0.2500 0.2500 0.2500 (multiplicity 8)  4 Tb 3.61, 4 Sm 3.61

*B*
A relaxed structure of TbSmEu2. Source: Alexandria, functional PBE.

Computed properties:
* theoretical density: 7.08 g cm⁻³
* total moment: 15.11 μB/cell

Unit cell a=3.6748 b=3.6748 c=10.6496 alpha=90.00 beta=90.00 gamma=90.00
Last column: nearest neighbours and their distance in Å.
Space group P4/mmm (No. 123)
Symmetry-distinct sites (fractional):
1 Tb 0.0000 0.0000 0.0000 (multiplicity 1)  4 Tb 3.67, 8 Eu 3.70
2 Sm 0.0000 0.0000 0.5000 (multiplicity 1)  4 Sm 3.67, 8 Eu 3.74
3 Eu 0.5000 0.5000 0.2475 (multiplicity 2)  4 Eu 3.67, 4 Tb 3.70, 4 Sm 3.74

Most stable: *B*. Least stable: *A*.

*A*
A relaxed structure of TbSm2Eu. Source: Alexandria, functional PBE.

Computed properties:
* theoretical density: 7.31 g cm⁻³
* total moment: 7.90 μB/cell

Unit cell a=6.0223 b=6.0223 c=3.8282 alpha=90.00 beta=90.00 gamma=90.00
Last column: nearest neighbours and their distance in Å.
Space group P4/mmm (No. 123)
Symmetry-distinct sites (fractional):
1 Tb 0.0000 0.0000 0.0000 (multiplicity 1)  8 Sm 3.57, 2 Tb 3.83
2 Sm 0.0000 0.5000 0.5000 (multiplicity 2)  4 Eu 3.57, 4 Tb 3.57, 2 Sm 3.83
3 Eu 0.5000 0.5000 0.0000 (multiplicity 1)  8 Sm 3.57, 2 Eu 3.83

*B*
A relaxed structure of TbSm2Eu. Source: Alexandria, functional PBE.

Computed properties:
* theoretical density: 7.29 g cm⁻³
* total moment: 7.40 μB/cell

Unit cell a=3.6566 b=3.6566 c=10.4255 alpha=90.00 beta=90.00 gamma=90.00
Last column: nearest neighbours and their distance in Å.
Space group P4/mmm (No. 123)
Symmetry-distinct sites (fractional):
1 Tb 0.0000 0.0000 0.0000 (multiplicity 1)  8 Sm 3.56, 4 Tb 3.66
2 Sm 0.5000 0.5000 0.2351 (multiplicity 2)  4 Tb 3.56, 4 Sm 3.66, 4 Eu 3.78
3 Eu 0.0000 0.0000 0.5000 (multiplicity 1)  4 Eu 3.66, 8 Sm 3.78

Most stable: *B*. Least stable: *A*.